1.
The following is a DFT calculation (PBE-GGA) of a relaxed structure of Zn12Ga16Ge.

Calculated values
The energy of formation from the pure elements comes out at 0.070 eV per atom. The density is 6.2 g/cm³. The crystal system is monoclinic. The calculation puts the energy at -66.31 eV per formula unit.

abc: 8.162 8.162 9.418
angles: 112.51 112.51 86.53
Positions (direct):
Zn  0.000  0.000  0.000
Zn  0.054  0.316  0.256
Zn  0.094  0.362  0.806
Zn  0.140  0.874  0.506
Zn  0.287  0.561  0.753
Zn  0.316  0.054  0.256
Zn  0.362  0.094  0.806
Zn  0.364  0.608  0.071
Zn  0.561  0.287  0.753
Zn  0.608  0.364  0.071
Zn  0.874  0.140  0.506
Zn  0.975  0.975  0.254
Ga  0.026  0.681  0.013
Ga  0.133  0.850  0.781
Ga  0.214  0.214  0.540
Ga  0.249  0.249  0.054
Ga  0.263  0.607  0.301
Ga  0.422  0.422  0.494
Ga  0.487  0.932  0.507
Ga  0.499  0.765  0.714
Ga  0.607  0.263  0.301
Ga  0.610  0.904  0.238
Ga  0.636  0.636  0.978
Ga  0.681  0.026  0.013
Ga  0.765  0.499  0.714
Ga  0.850  0.133  0.781
Ga  0.904  0.610  0.238
Ga  0.932  0.487  0.507
Ge  0.809  0.809  0.505


2.
The following is a DFT calculation (PBE-GGA) of a relaxed structure of ZnGaGe2.

Calculated values
The energy of formation from the pure elements comes out at 0.212 eV per atom. The density is 6.3 g/cm³. The crystal system is tetragonal. The calculation puts the energy at -12.69 eV per formula unit.

abc: 3.315 3.315 6.731
angles: 90.00 90.00 90.00
Positions (direct):
Zn  0.000  0.000  0.000
Ga  0.000  0.000  0.500
Ge  0.500  0.500  0.233
Ge  0.500  0.500  0.767


Copy entry 2 word for word.
The following is a DFT calculation (PBE-GGA) of a relaxed structure of ZnGaGe2.

Calculated values
The energy of formation from the pure elements comes out at 0.212 eV per atom. The density is 6.3 g/cm³. The crystal system is tetragonal. The calculation puts the energy at -12.69 eV per formula unit.

abc: 3.315 3.315 6.731
angles: 90.00 90.00 90.00
Positions (direct):
Zn  0.000  0.000  0.000
Ga  0.000  0.000  0.500
Ge  0.500  0.500  0.233
Ge  0.500  0.500  0.767


Repeat the first record exactly.
The following is a DFT calculation (PBE-GGA) of a relaxed structure of Zn12Ga16Ge.

Calculated values
The energy of formation from the pure elements comes out at 0.070 eV per atom. The density is 6.2 g/cm³. The crystal system is monoclinic. The calculation puts the energy at -66.31 eV per formula unit.

abc: 8.162 8.162 9.418
angles: 112.51 112.51 86.53
Positions (direct):
Zn  0.000  0.000  0.000
Zn  0.054  0.316  0.256
Zn  0.094  0.362  0.806
Zn  0.140  0.874  0.506
Zn  0.287  0.561  0.753
Zn  0.316  0.054  0.256
Zn  0.362  0.094  0.806
Zn  0.364  0.608  0.071
Zn  0.561  0.287  0.753
Zn  0.608  0.364  0.071
Zn  0.874  0.140  0.506
Zn  0.975  0.975  0.254
Ga  0.026  0.681  0.013
Ga  0.133  0.850  0.781
Ga  0.214  0.214  0.540
Ga  0.249  0.249  0.054
Ga  0.263  0.607  0.301
Ga  0.422  0.422  0.494
Ga  0.487  0.932  0.507
Ga  0.499  0.765  0.714
Ga  0.607  0.263  0.301
Ga  0.610  0.904  0.238
Ga  0.636  0.636  0.978
Ga  0.681  0.026  0.013
Ga  0.765  0.499  0.714
Ga  0.850  0.133  0.781
Ga  0.904  0.610  0.238
Ga  0.932  0.487  0.507
Ge  0.809  0.809  0.505


Q: Which formula does entry 2 have?
A: ZnGaGe2